Entry 1:
! Re2TcOs PBE relaxed; values from VASP
&SYSTEM
  ibrav = 0, nat = 4, ntyp = 3
/
ATOMIC_SPECIES
Re 186.21 Re.upf
Tc 98.00 Tc.upf
Os 190.23 Os.upf
CELL_PARAMETERS angstrom
3.2253 0.0000 0.0000
0.0000 3.2253 0.0000
0.0000 0.0000 5.7511
ATOMIC_POSITIONS crystal
Re 0.5000 0.5000 0.2522
Re 0.0000 0.0000 0.9994
Tc 0.0000 0.0000 0.4980
Os 0.5000 0.5000 0.7503
! Space group ... P4mm (99)
! Calculated total energy ... -11.2256 eV/atom
! N(E_F) ... 4.800 states/eV/f.u.
! ΔE to the lowest computed polymorph ... 0.416 eV/atom



Entry 2:
! Re8Tc2Os PBE relaxed; values from VASP
&SYSTEM
  ibrav = 0, nat = 11, ntyp = 3
/
ATOMIC_SPECIES
Re 186.21 Re.upf
Tc 98.00 Tc.upf
Os 190.23 Os.upf
CELL_PARAMETERS angstrom
-1.6730 1.9530 -3.4281
5.5492 0.2917 -2.5420
-2.9151 -6.8591 0.1935
ATOMIC_POSITIONS crystal
Re 0.3543 0.1383 0.7087
Re 0.6457 0.8617 0.2913
Re 0.0000 0.7010 0.0000
Re 0.0000 0.2990 0.0000
Re 0.3544 0.5704 0.7087
Re 0.1598 0.1598 0.3196
Re 0.6456 0.4296 0.2913
Re 0.8402 0.8402 0.6804
Tc 0.1984 0.6984 0.3969
Tc 0.8016 0.3016 0.6031
Os 0.5000 0.0000 0.0000
! Space group ... Immm (71)
! Calculated total energy ... -11.7047 eV/atom
! N(E_F) ... 8.445 states/eV/f.u.



Entry 3:
! ReTcOs2 PBE relaxed; values from VASP
&SYSTEM
  ibrav = 0, nat = 4, ntyp = 3
/
ATOMIC_SPECIES
Os 190.23 Os.upf
Re 186.21 Re.upf
Tc 98.00 Tc.upf
CELL_PARAMETERS angstrom
-8.5799 0.5033 3.0239
-7.9899 -2.0310 3.8792
-7.3182 0.1275 5.4258
ATOMIC_POSITIONS crystal
Os 0.2501 0.2501 0.2501
Os 0.0001 0.0001 0.0001
Re 0.5006 0.5006 0.5006
Tc 0.7492 0.7492 0.7492
! Space group ... R3m (160)
! Calculated total energy ... -11.2408 eV/atom
! N(E_F) ... 3.766 states/eV/f.u.
! ΔE to the lowest computed polymorph ... 0.170 eV/atom



Entry 4:
! ReTcOs2 PBE relaxed; values from VASP
&SYSTEM
  ibrav = 0, nat = 4, ntyp = 3
/
ATOMIC_SPECIES
Os 190.23 Os.upf
Tc 98.00 Tc.upf
Re 186.21 Re.upf
CELL_PARAMETERS angstrom
4.7535 0.0042 -0.0041
3.9634 2.6244 -0.0041
0.7873 0.2374 4.6768
ATOMIC_POSITIONS crystal
Os 0.7508 0.7508 0.7467
Os 0.9998 0.9998 0.0037
Tc 0.2520 0.2520 0.2442
Re 0.4974 0.4974 0.5054
! Space group ... Cm (8)
! Calculated total energy ... -11.2502 eV/atom
! N(E_F) ... 4.204 states/eV/f.u.
! ΔE to the lowest computed polymorph ... 0.160 eV/atom